The following is a DFT calculation (GGA-PBE) of a relaxed structure of KYCdSe3.

crystal system: monoclinic
spin magnetization: 0.00 μB/f.u.
formation energy (no corrections): -1338 meV per atom

a b c (Å): 8.9603 4.2633 10.2398
angles (deg): 90.00 107.29 90.00
Element x y z (fractional)
K1 0.2108 0.2500 0.2290
K2 0.7892 0.7500 0.7710
Y1 0.3303 0.7500 0.8644
Y2 0.6697 0.2500 0.1356
Cd1 0.0848 0.2500 0.6095
Cd2 0.9152 0.7500 0.3905
Se1 0.1082 0.2500 0.8702
Se2 0.2320 0.7500 0.5441
Se3 0.4597 0.7500 0.1518
Se4 0.5403 0.2500 0.8482
Se5 0.7680 0.2500 0.4559
Se6 0.8918 0.7500 0.1298